No. 1
This record from OQMD via LeMat-Bulk describes a relaxed structure of Pu2Al3Ag. The functional is PBE.

abc: 5.6576 5.6576 8.6647
angles: 90.00 90.00 120.00
Space group P6_3/mmc (No. 194)
Inequivalent atoms, fractional coordinates:
Pu1 0.3333 0.6667 0.0750 (multiplicity 4)
Al1 0.1708 0.3415 0.7500 (multiplicity 6)
Ag1 0.0000 0.0000 0.0000 (multiplicity 2)


No. 2
This record from OQMD via LeMat-Bulk describes a relaxed structure of Pu2AlAg3. The functional is PBE.

abc: 5.7216 5.7216 8.9402
angles: 90.00 90.00 120.00
Space group P6_3/mmc (No. 194)
Inequivalent atoms, fractional coordinates:
Pu1 0.3333 0.6667 0.0584 (multiplicity 4)
Al1 0.0000 0.0000 0.0000 (multiplicity 2)
Ag1 0.1671 0.3342 0.7500 (multiplicity 6)


no.,magnetization (μB/atom),E (eV for the cell shown)
1,1.8708,-88.81
2,1.9439,-83.00